Entry 1:
## NbTcO3 (GGA-PBE)

Data for NbTcO3 after structural relaxation.

Cell: 4.0054 4.0054 4.0054 Å, 90.00 90.00 90.00°
With the nearest neighbours (Å) after each atom.
Atoms (fractional coordinates):
O 0.5000 0.0000 0.0000  2 Nb 2.00
O 0.0000 0.0000 0.5000  2 Nb 2.00
O 0.0000 0.5000 0.0000  2 Nb 2.00
Tc 0.5000 0.5000 0.5000  12 O 2.83
Nb 0.0000 0.0000 0.0000  6 O 2.00

* energy relative to the elements, uncorrected: -1.138 eV per atom
* crystal system: cubic

***

Entry 2:
## TaMo2Cl (GGA-PBE)

Data for TaMo2Cl after structural relaxation.

Cell: 4.4414 2.8647 5.4329 Å, 76.66 90.00 90.00°
With the nearest neighbours (Å) after each atom.
Atoms (fractional coordinates):
Cl 0.5000 0.5049 0.7701  1 Mo 2.40, 2 Ta 2.66
Ta 0.0000 0.6123 0.4923  4 Mo 2.62-2.91, 2 Cl 2.66, 2 Ta 2.86
Mo 0.0000 0.0647 0.0139  2 Ta 2.62-2.91, 4 Mo 2.67-2.86, 2 Cl 2.74
Mo 0.5000 0.3182 0.2237  1 Cl 2.40, 2 Mo 2.67

* energy relative to the elements, uncorrected: 0.387 eV per atom
* energy relative to the lowest polymorph listed for this composition: 0.85 eV/f.u.
* crystal system: monoclinic

***

Entry 3:
## Ca3Mg7Hg4 (GGA-PBE)

Data for Ca3Mg7Hg4 after structural relaxation.

Cell: 4.6221 8.8055 9.5021 Å, 74.19 75.92 74.78°
With the nearest neighbours (Å) after each atom.
Atoms (fractional coordinates):
Ca 0.0000 0.5000 0.5000  6 Hg 3.38-3.42, 4 Mg 3.74
Ca 0.6940 0.8174 0.7945  4 Hg 3.23-3.37, 10 Mg 3.43-3.62
Ca 0.3060 0.1826 0.2055  4 Hg 3.23-3.37, 10 Mg 3.43-3.62
Mg 0.0000 0.0000 0.0000  2 Hg 2.93, 4 Mg 3.21
Mg 0.5139 0.7838 0.1884  3 Hg 2.88-2.89, 5 Mg 3.11-3.21
Mg 0.8356 0.3992 0.9297  3 Hg 2.98-2.99, 5 Mg 3.11-3.31
Mg 0.6773 0.1574 0.4881  4 Hg 2.86-2.95, 1 Mg 3.13
Mg 0.3227 0.8426 0.5119  4 Hg 2.86-2.95, 1 Mg 3.13
Mg 0.4861 0.2162 0.8116  3 Hg 2.88-2.89, 5 Mg 3.11-3.21
Mg 0.1644 0.6008 0.0703  3 Hg 2.98-2.99, 5 Mg 3.11-3.31
Hg 0.8897 0.8951 0.3254  6 Mg 2.86-2.95
Hg 0.6595 0.4361 0.2450  5 Mg 2.87-2.99
Hg 0.1103 0.1049 0.6746  6 Mg 2.86-2.95
Hg 0.3405 0.5639 0.7550  5 Mg 2.87-2.99

* formation enthalpy at 0 K: -0.30 eV/atom
* crystal system: monoclinic

***

Entry 4:
## ThHN (GGA-PBE)

Data for ThHN after structural relaxation.

Cell: 3.5647 6.1472 7.1566 Å, 90.00 90.00 90.00°
With the nearest neighbours (Å) after each atom.
Atoms (fractional coordinates):
N 0.7500 0.5428 0.8242  5 Th 2.42-2.69
N 0.7500 0.0428 0.6758  5 Th 2.42-2.69
N 0.2500 0.9572 0.3242  5 Th 2.42-2.69
N 0.2500 0.4572 0.1758  5 Th 2.42-2.69
H 0.2500 0.3805 0.5617  4 Th 2.37-2.43, 2 H 2.47
H 0.2500 0.8805 0.9383  4 Th 2.37-2.43, 2 H 2.47
H 0.7500 0.6195 0.4383  4 Th 2.37-2.43, 2 H 2.47
H 0.7500 0.1195 0.0617  4 Th 2.37-2.43, 2 H 2.47
Th 0.7500 0.2306 0.3782  4 H 2.37-2.43, 3 N 2.42-2.48
Th 0.7500 0.7306 0.1218  4 H 2.37-2.43, 3 N 2.42-2.48
Th 0.2500 0.2694 0.8782  4 H 2.37-2.43, 3 N 2.42-2.48
Th 0.2500 0.7694 0.6218  4 H 2.37-2.43, 3 N 2.42-2.48

* total DFT energy (no corrections): -90.980 eV per cell
* crystal system: orthorhombic

***

Entry 5:
## InRe2Au (GGA-PBE)

Data for InRe2Au after structural relaxation.

Cell: 5.3920 5.3920 5.3920 Å, 145.64 127.54 64.22°
With the nearest neighbours (Å) after each atom.
Atoms (fractional coordinates):
Re 0.7686 0.2686 0.5000  2 Re 2.51
Re 0.9814 0.9814 0.0000  2 Re 2.51
Au 0.5050 0.5050 0.0000  2 In 2.86, 6 Re 2.87-2.89, 2 Au 3.18
In 0.2450 0.7450 0.5000  2 Au 2.86, 6 Re 2.87-2.89, 2 In 3.18

* formation enthalpy at 0 K: 0.58 eV/atom
* crystal system: orthorhombic

***

Entry 6:
## LaTiAlV (GGA-PBE)

Data for LaTiAlV after structural relaxation.

Cell: 4.4079 2.9857 12.5891 Å, 90.00 90.00 90.00°
With the nearest neighbours (Å) after each atom.
Atoms (fractional coordinates):
V 0.5000 0.5000 0.1612  2 Ti 2.42, 2 Al 2.70
V 0.5000 0.0000 0.6612  2 Ti 2.42, 2 Al 2.70
La 0.0000 0.5000 0.8190  2 La 2.99, 3 Ti 3.32-3.33, 4 V 3.32
La 0.0000 0.0000 0.3190  2 La 2.99, 3 Ti 3.32-3.33, 4 V 3.32
Al 0.5000 0.5000 0.4829  2 V 2.70, 4 Ti 2.94, 2 Al 2.99
Al 0.5000 0.0000 0.9829  2 V 2.70, 4 Ti 2.94, 2 Al 2.99
Ti 0.0000 0.0000 0.5824  2 V 2.42
Ti 0.0000 0.5000 0.0824  2 V 2.42

* formation enthalpy at 0 K: 0.13 eV/atom
* energy relative to the lowest polymorph listed for this composition: 0.36 eV/f.u.
* crystal system: orthorhombic

***

Entry 7:
## La2Pr6Dy3In (GGA-PBE)

Data for La2Pr6Dy3In after structural relaxation.

Cell: 6.2709 6.2709 12.0484 Å, 94.99 94.99 120.07°
With the nearest neighbours (Å) after each atom.
Atoms (fractional coordinates):
Dy 0.8327 0.1673 0.5000  6 Pr 3.59-3.64, 6 Dy 3.61-3.64
Dy 0.5000 0.5000 0.5000  6 Pr 3.59-3.63, 6 Dy 3.62
Dy 0.1673 0.8327 0.5000  6 Pr 3.59-3.64, 6 Dy 3.61-3.64
Pr 0.0836 0.4080 0.2521  6 Pr 3.52-3.67, 3 Dy 3.59-3.64, 1 In 3.62, 2 La 3.67
Pr 0.9164 0.5920 0.7479  6 Pr 3.52-3.67, 3 Dy 3.59-3.64, 1 In 3.62, 2 La 3.67
Pr 0.4080 0.0836 0.2521  6 Pr 3.52-3.67, 3 Dy 3.59-3.64, 1 In 3.62, 2 La 3.67
Pr 0.5920 0.9164 0.7479  6 Pr 3.52-3.67, 3 Dy 3.59-3.64, 1 In 3.62, 2 La 3.67
Pr 0.2405 0.2405 0.7472  6 Pr 3.52-3.67, 3 Dy 3.59-3.63, 1 In 3.63, 2 La 3.67
Pr 0.7595 0.7595 0.2528  6 Pr 3.52-3.67, 3 Dy 3.59-3.63, 1 In 3.63, 2 La 3.67
La 0.6663 0.3337 0.0000  3 La 3.61-3.62, 3 In 3.62-3.63, 6 Pr 3.67
La 0.3337 0.6663 0.0000  3 La 3.61-3.62, 3 In 3.62-3.63, 6 Pr 3.67
In 0.0000 0.0000 0.0000  6 Pr 3.62-3.63, 6 La 3.62-3.63

* formation enthalpy at 0 K: -0.06 eV/atom
* crystal system: monoclinic

***

Entry 8:
## CrRe2Hg (GGA-PBE)

Data for CrRe2Hg after structural relaxation.

Cell: 5.5111 5.5111 5.5111 Å, 149.81 131.13 58.53°
With the nearest neighbours (Å) after each atom.
Atoms (fractional coordinates):
Re 0.5363 0.5363 0.0000  2 Cr 2.51, 4 Re 2.78
Re 0.9637 0.9637 0.0000  2 Cr 2.51, 4 Re 2.78
Cr 0.7500 0.2500 0.5000  4 Re 2.51, 4 Hg 2.69
Hg 0.2500 0.7500 0.5000  4 Cr 2.69, 2 Hg 2.87

* formation enthalpy at 0 K: 0.57 eV/atom
* crystal system: orthorhombic